# Be5Al4Fe2, optimized geometry, DFT PBEsol
# - Formation energy: -0.16 eV per atom
# - Uncorrected energy: -5.10 eV/atom
# - Total magnetic moment: 0.000 μB/atom
data_Be5Al4Fe2
_symmetry_space_group_name_H-M 'C 1 2/m 1'
_symmetry_Int_Tables_number 12
_cell_length_a 7.478
_cell_length_b 4.340
_cell_length_c 7.758
_cell_angle_alpha 90.00
_cell_angle_beta 104.75
_cell_angle_gamma 90.00
loop_
_symmetry_equiv_pos_as_xyz
'x,y,z'
'-x,-y,-z'
'-x,y,-z'
'x,-y,z'
'x+1/2,y+1/2,z'
'-x+1/2,-y+1/2,-z'
'-x+1/2,y+1/2,-z'
'x+1/2,-y+1/2,z'
loop_
_atom_site_label
_atom_site_fract_x
_atom_site_fract_y
_atom_site_fract_z
Be1 0.000 0.000 0.000
Be2 0.250 0.250 0.000
Be3 0.250 0.250 0.500
Al1 0.052 0.500 0.197
Al2 0.081 0.000 0.694
Fe1 0.230 0.000 0.247


# La3MgAg, optimized geometry, DFT PBEsol
# - Formation energy: 0.34 eV per atom
# - Uncorrected energy: -3.87 eV/atom
# - Total magnetic moment: 0.409 μB/atom
data_La3MgAg
_symmetry_space_group_name_H-M 'P m -3 m'
_symmetry_Int_Tables_number 221
_symmetry_space_group_name_Hall '-P 4 2 3'
_cell_length_a 5.761
_cell_length_b 5.761
_cell_length_c 5.761
_cell_angle_alpha 90.00
_cell_angle_beta 90.00
_cell_angle_gamma 90.00
loop_
_atom_site_label
_atom_site_fract_x
_atom_site_fract_y
_atom_site_fract_z
La1 0.000 0.000 0.500
Mg1 0.500 0.500 0.500
Ag1 0.000 0.000 0.000


# Ni2BMoO, optimized geometry, DFT PBEsol
# - Uncorrected energy: -7.07 eV/atom
# - Total magnetic moment: 0.000 μB/atom
# - Raw formation energy: 0.200 eV/atom
data_Ni2BMoO
_symmetry_space_group_name_H-M 'P 4/m m m'
_symmetry_Int_Tables_number 123
_symmetry_space_group_name_Hall '-P 4 2'
_cell_length_a 3.580
_cell_length_b 3.580
_cell_length_c 4.094
_cell_angle_alpha 90.00
_cell_angle_beta 90.00
_cell_angle_gamma 90.00
loop_
_atom_site_label
_atom_site_fract_x
_atom_site_fract_y
_atom_site_fract_z
Ni1 0.000 0.500 0.000
B1 0.000 0.000 0.500
Mo1 0.500 0.500 0.500
O1 0.500 0.500 0.000


# TbVO3, optimized geometry, DFT PBEsol
# - Uncorrected energy: -9.07 eV/atom
# - Total magnetic moment: 0.400 μB/atom
# - Raw formation energy: -2.990 eV/atom
data_TbVO3
_symmetry_space_group_name_H-M 'P n m a'
_symmetry_Int_Tables_number 62
_cell_length_a 5.594
_cell_length_b 7.535
_cell_length_c 5.214
_cell_angle_alpha 90.00
_cell_angle_beta 90.00
_cell_angle_gamma 90.00
loop_
_symmetry_equiv_pos_as_xyz
'x,y,z'
'-x,-y,-z'
'-x+1/2,-y,z+1/2'
'x+1/2,y,-z+1/2'
'x+1/2,-y+1/2,-z+1/2'
'-x+1/2,y+1/2,z+1/2'
'-x,y+1/2,-z'
'x,-y+1/2,z'
loop_
_atom_site_label
_atom_site_fract_x
_atom_site_fract_y
_atom_site_fract_z
Tb1 0.070 0.250 0.020
V1 0.000 0.000 0.500
O1 0.037 0.750 0.393
O2 0.198 0.554 0.808


# CuIr2W, optimized geometry, DFT PBEsol
# - Formation energy: 0.06 eV per atom
# - Uncorrected energy: -9.39 eV/atom
# - Relative energy among the computed polymorphs: 0.16 eV per formula unit
# - Total magnetic moment: 0.000 μB/atom
data_CuIr2W
_symmetry_space_group_name_H-M 'P 4/m m m'
_symmetry_Int_Tables_number 123
_symmetry_space_group_name_Hall '-P 4 2'
_cell_length_a 3.910
_cell_length_b 3.910
_cell_length_c 3.636
_cell_angle_alpha 90.00
_cell_angle_beta 90.00
_cell_angle_gamma 90.00
loop_
_atom_site_label
_atom_site_fract_x
_atom_site_fract_y
_atom_site_fract_z
Cu1 0.000 0.000 0.000
Ir1 0.000 0.500 0.500
W1 0.500 0.500 0.000


# ScTi2F, optimized geometry, DFT PBEsol
# - Uncorrected energy: -5.97 eV/atom
# - Total magnetic moment: 0.053 μB/atom
# - Raw formation energy: 0.320 eV/atom
data_ScTi2F
_symmetry_space_group_name_H-M 'F m -3 m'
_symmetry_Int_Tables_number 225
_symmetry_space_group_name_Hall '-F 4 2 3'
_cell_length_a 6.437
_cell_length_b 6.437
_cell_length_c 6.437
_cell_angle_alpha 90.00
_cell_angle_beta 90.00
_cell_angle_gamma 90.00
loop_
_atom_site_label
_atom_site_fract_x
_atom_site_fract_y
_atom_site_fract_z
Sc1 0.000 0.000 0.000
Ti1 0.250 0.250 0.250
F1 0.000 0.000 0.500


# MoAsCSe2, optimized geometry, DFT PBEsol
# - Uncorrected energy: -5.22 eV/atom
# - Total magnetic moment: 0.350 μB/atom
# - Raw formation energy: 1.623 eV/atom
data_MoAsCSe2
_symmetry_space_group_name_H-M 'P 4/m m m'
_symmetry_Int_Tables_number 123
_symmetry_space_group_name_Hall '-P 4 2'
_cell_length_a 4.792
_cell_length_b 4.792
_cell_length_c 4.858
_cell_angle_alpha 90.00
_cell_angle_beta 90.00
_cell_angle_gamma 90.00
loop_
_atom_site_label
_atom_site_fract_x
_atom_site_fract_y
_atom_site_fract_z
Mo1 0.000 0.000 0.000
As1 0.000 0.000 0.500
C1 0.500 0.500 0.500
Se1 0.000 0.500 0.000


# RbLaN2O, optimized geometry, DFT PBEsol
# - Uncorrected energy: -5.81 eV/atom
# - Total magnetic moment: 0.801 μB/atom
# - Raw formation energy: -0.071 eV/atom
data_RbLaN2O
_symmetry_space_group_name_H-M 'P 4/m m m'
_symmetry_Int_Tables_number 123
_symmetry_space_group_name_Hall '-P 4 2'
_cell_length_a 4.933
_cell_length_b 4.933
_cell_length_c 4.501
_cell_angle_alpha 90.00
_cell_angle_beta 90.00
_cell_angle_gamma 90.00
loop_
_atom_site_label
_atom_site_fract_x
_atom_site_fract_y
_atom_site_fract_z
Rb1 0.000 0.000 0.000
La1 0.500 0.500 0.500
N1 0.000 0.500 0.500
O1 0.500 0.500 0.000


Question: Number 2 is which compound?
Answer: La3MgAg